{"formula": "SrPtIO2", "functional": "PBE", "state": "relaxed", "e_above_lowest_polymorph_ev_per_atom": 0.605, "e_form_raw_ev_per_atom": 0.03, "cell": [[-1.151, -2.730, -3.245], [-2.063, -2.577, 2.900], [-6.077, 3.745, -0.994]], "species": ["Pt", "Sr", "O", "O", "I"], "fractional_positions": [[0.500, 0.500, 0.500], [0.000, 0.000, 0.000], [0.000, 0.500, 0.000], [0.500, 0.000, 0.000], [0.000, 0.000, 0.500]]}

---

{"formula": "Sm3Pt4", "functional": "PBE", "state": "relaxed", "ef_mev_per_atom": -1153, "cell": [[8.051, 0.001, 0.003], [-3.330, 7.330, 0.003], [-3.330, -5.172, 5.194]], "species": ["Pt", "Sm", "Sm", "Sm", "Sm", "Sm", "Pt", "Pt", "Pt", "Pt", "Sm", "Pt", "Pt", "Pt"], "fractional_positions": [[0.500, 0.500, 0.500], [0.405, 0.281, 0.029], [0.281, 0.029, 0.405], [0.719, 0.971, 0.595], [0.029, 0.405, 0.281], [0.595, 0.719, 0.971], [0.553, 0.059, 0.224], [0.447, 0.941, 0.776], [0.000, 0.000, 0.000], [0.059, 0.224, 0.553], [0.971, 0.595, 0.719], [0.776, 0.447, 0.941], [0.224, 0.553, 0.059], [0.941, 0.776, 0.447]]}

---

no.,volume (Å³/cell),spin magnetization (μB per atom)
1,139,0.477
2,307,0.000